Th3Al2Zn6Ga | PBE | relaxed

Summary:
- DOS at the Fermi energy: 9.80 states/eV per cell
- Energy of formation: -0.7 eV per formula unit

Cell lengths 5.9543, 5.9543, 8.3649 Å; angles 90.00, 90.00, 120.00 degrees
Last column: nearest neighbours and their distance in Å.
Atoms (fractional coordinates):
Th 0.0000 0.0000 0.0000  6 Zn 3.03
Th 0.3333 0.6667 0.6211  9 Zn 3.09-3.22, 1 Al 3.24
Th 0.6667 0.3333 0.3789  9 Zn 3.09-3.22, 1 Al 3.24
Al 0.3333 0.6667 0.0081  3 Zn 2.75
Al 0.6667 0.3333 0.9919  3 Zn 2.75
Zn 0.1855 0.3710 0.2815  2 Zn 2.64, 1 Ga 2.65, 1 Al 2.75
Zn 0.1855 0.8145 0.2815  2 Zn 2.64, 1 Ga 2.65, 1 Al 2.75
Zn 0.3710 0.1855 0.7185  2 Zn 2.64, 1 Ga 2.65, 1 Al 2.75
Zn 0.6290 0.8145 0.2815  2 Zn 2.64, 1 Ga 2.65, 1 Al 2.75
Zn 0.8145 0.1855 0.7185  2 Zn 2.64, 1 Ga 2.65, 1 Al 2.75
Zn 0.8145 0.6290 0.7185  2 Zn 2.64, 1 Ga 2.65, 1 Al 2.75
Ga 0.0000 0.0000 0.5000  6 Zn 2.65

Ho6Se8Cl | PBE | relaxed

Summary:
- Formation energy without anion corrections: -25.55 eV/f.u.
- DOS at the Fermi energy: 3.76 states/eV per cell

Cell lengths 11.0952, 11.0952, 4.1944 Å; angles 90.00, 90.00, 120.00 degrees
Last column: nearest neighbours and their distance in Å.
Atoms (fractional coordinates):
Ho 0.1380 0.4702 0.2518  6 Se 2.80-3.02
Ho 0.3322 0.8620 0.2518  6 Se 2.80-3.02
Ho 0.4702 0.3322 0.7482  6 Se 2.80-3.02
Ho 0.5298 0.6678 0.2518  6 Se 2.80-3.02
Ho 0.6678 0.1380 0.7482  6 Se 2.80-3.02
Ho 0.8620 0.5298 0.7482  6 Se 2.80-3.02
Se 0.0463 0.6708 0.2477  4 Ho 2.80-2.87
Se 0.3292 0.3756 0.2477  4 Ho 2.80-2.87
Se 0.3333 0.6667 0.7508  6 Ho 3.02
Se 0.3756 0.0463 0.7523  4 Ho 2.80-2.87
Se 0.6244 0.9537 0.2477  4 Ho 2.80-2.87
Se 0.6667 0.3333 0.2492  6 Ho 3.02
Se 0.6708 0.6244 0.7523  4 Ho 2.80-2.87
Se 0.9537 0.3292 0.7523  4 Ho 2.80-2.87
Cl 0.0000 0.0000 0.5000  6 Se 4.08, 2 Cl 4.19

ScTa2Co | PBE | relaxed

Summary:
- Energy above the most stable polymorph in this dataset: 111 meV per atom
- DOS at the Fermi energy: 3.73 states/eV per cell
- Energy of formation: 0.2 eV per formula unit

Cell lengths 2.9748, 2.9748, 7.7852 Å; angles 90.00, 90.00, 90.00 degrees
Last column: nearest neighbours and their distance in Å.
Atoms (fractional coordinates):
Sc 0.0000 0.0000 0.0000  4 Sc 2.97, 8 Ta 3.09
Ta 0.5000 0.5000 0.2912  4 Co 2.66, 4 Ta 2.97
Ta 0.5000 0.5000 0.7088  4 Co 2.66, 4 Ta 2.97
Co 0.0000 0.0000 0.5000  8 Ta 2.66, 4 Co 2.97

AsClF | PBE | relaxed

Summary:
- Energy above the most stable polymorph in this dataset: 2 meV per atom
- Formation energy without anion corrections: -3.53 eV/f.u.
- DOS at the Fermi energy: 0.00 states/eV per cell

Cell lengths 4.6125, 5.7035, 7.0936 Å; angles 103.23, 106.21, 98.20 degrees
Last column: nearest neighbours and their distance in Å.
Atoms (fractional coordinates):
As 0.0000 0.0000 0.0000  1 F 1.83
As 0.0894 0.2138 0.7325  1 F 1.80
Cl 0.1667 0.3576 0.2375  1 As 2.20
Cl 0.8201 0.8865 0.4747  1 As 2.21
F 0.5864 0.9947 0.9333  1 As 1.83
F 0.7845 0.3786 0.7360  1 As 1.80

La3HoCo2 | PBE | relaxed

Summary:
- DOS at the Fermi energy: 12.98 states/eV per cell
- Energy of formation: -0.6 eV per formula unit

Cell lengths 8.6376, 8.6376, 12.3133 Å; angles 123.78, 123.78, 27.18 degrees
Last column: nearest neighbours and their distance in Å.
Atoms (fractional coordinates):
La 0.0592 0.0592 0.1923  3 Co 2.72-2.75
La 0.1806 0.1806 0.5537  3 Co 2.74-2.86
La 0.3067 0.3067 0.9366  3 Co 2.67-2.80
La 0.6933 0.6933 0.0634  3 Co 2.67-2.80
La 0.8194 0.8194 0.4463  3 Co 2.74-2.86
La 0.9408 0.9408 0.8077  3 Co 2.72-2.75
Ho 0.4395 0.4395 0.3059  3 Co 2.72-2.73
Ho 0.5605 0.5605 0.6941  3 Co 2.72-2.73
Co 0.1258 0.1258 0.8740  4 La 2.67-2.80, 2 Ho 2.73
Co 0.3753 0.3753 0.6253  1 Ho 2.72, 5 La 2.74-2.86
Co 0.6247 0.6247 0.3747  1 Ho 2.72, 5 La 2.74-2.86
Co 0.8742 0.8742 0.1260  4 La 2.67-2.80, 2 Ho 2.73

KWCl | PBE | relaxed

Summary:
- Energy above the most stable polymorph in this dataset: 59 meV per atom
- Formation energy without anion corrections: 2.17 eV/f.u.
- DOS at the Fermi energy: 1.16 states/eV per cell

Cell lengths 7.9742, 7.7192, 3.0294 Å; angles 83.65, 74.17, 22.18 degrees
Last column: nearest neighbours and their distance in Å.
Atoms (fractional coordinates):
K 0.0000 0.0000 0.0000  2 Cl 2.98, 6 K 3.03-3.22
W 0.3009 0.3009 0.6991  2 Cl 2.59
Cl 0.6661 0.6661 0.3339  2 W 2.59

CeSc5In6 | PBE | relaxed

Summary:
- DOS at the Fermi energy: 13.56 states/eV per cell
- Energy of formation: -4.8 eV per formula unit

Cell lengths 8.5518, 8.5518, 8.5518 Å; angles 148.42, 118.79, 70.52 degrees
Last column: nearest neighbours and their distance in Å.
Atoms (fractional coordinates):
Ce 0.0000 0.0000 0.0000  8 In 3.25, 4 Sc 3.27
Sc 0.1648 0.6648 0.5000  8 In 3.14-3.23, 2 Sc 3.27, 2 Ce 3.27
Sc 0.3293 0.3293 0.0000  8 In 3.14-3.17, 4 Sc 3.27-3.33
Sc 0.5000 0.0000 0.5000  8 In 3.12-3.19, 4 Sc 3.33
Sc 0.6707 0.6707 0.0000  8 In 3.14-3.17, 4 Sc 3.27-3.33
Sc 0.8352 0.3352 0.5000  8 In 3.14-3.23, 2 Sc 3.27, 2 Ce 3.27
In 0.0851 0.8298 0.2553  7 Sc 3.14-3.22, 4 In 3.22-3.33, 1 Ce 3.25
In 0.2605 0.5000 0.7605  6 Sc 3.12-3.23, 2 Ce 3.25, 4 In 3.33
In 0.4255 0.1702 0.2553  7 Sc 3.14-3.22, 4 In 3.22-3.33, 1 Ce 3.25
In 0.5745 0.8298 0.7447  7 Sc 3.14-3.22, 4 In 3.22-3.33, 1 Ce 3.25
In 0.7395 0.5000 0.2395  6 Sc 3.12-3.23, 2 Ce 3.25, 4 In 3.33
In 0.9149 0.1702 0.7447  7 Sc 3.14-3.22, 4 In 3.22-3.33, 1 Ce 3.25

Pu2TaGaN5 | PBE | relaxed

Summary:
- Formation energy without anion corrections: -8.41 eV/f.u.
- DOS at the Fermi energy: 25.03 states/eV per cell

Cell lengths 6.9810, 6.9810, 10.1202 Å; angles 90.00, 90.00, 153.32 degrees
Last column: nearest neighbours and their distance in Å.
Atoms (fractional coordinates):
Pu 0.1202 0.8798 0.5000  7 N 2.33-2.59
Pu 0.1299 0.8701 0.0785  6 N 2.37-2.53
Pu 0.8701 0.1299 0.5785  6 N 2.37-2.53
Pu 0.8798 0.1202 0.0000  7 N 2.33-2.59
Ta 0.2169 0.7831 0.7961  6 N 1.99-2.18
Ta 0.7831 0.2169 0.2961  6 N 1.99-2.18
Ga 0.4900 0.5100 0.2737  4 N 1.90-2.01
Ga 0.5100 0.4900 0.7737  4 N 1.90-2.01
N 0.0609 0.9391 0.8467  2 Ga 1.90
N 0.2855 0.7145 0.4407  2 Ta 2.18, 3 Pu 2.33-2.42
N 0.3003 0.6997 0.1582  2 Ta 2.14
N 0.3634 0.6366 0.8006  1 Ta 1.99, 1 Ga 2.01
N 0.4983 0.5017 0.5765  1 Ga 2.00
N 0.5017 0.4983 0.0765  1 Ga 2.00
N 0.6366 0.3634 0.3006  1 Ta 1.99, 1 Ga 2.01
N 0.6997 0.3003 0.6582  2 Ta 2.14
N 0.7145 0.2855 0.9407  2 Ta 2.18, 3 Pu 2.33-2.42
N 0.9391 0.0609 0.3467  2 Ga 1.90

SrHfTcP2 | PBE | relaxed

Summary:
- DOS at the Fermi energy: 4.42 states/eV per cell
- Energy of formation: 1.4 eV per formula unit

Cell lengths 5.0620, 5.0620, 4.9182 Å; angles 90.00, 90.00, 90.00 degrees
Last column: nearest neighbours and their distance in Å.
Atoms (fractional coordinates):
Sr 0.0000 0.0000 0.0000  8 P 3.53, 4 Tc 3.58
Hf 0.5000 0.5000 0.5000  2 Tc 2.46, 4 P 2.53
Tc 0.5000 0.5000 0.0000  2 Hf 2.46
P 0.0000 0.5000 0.5000  2 Hf 2.53
P 0.5000 0.0000 0.5000  2 Hf 2.53

U2TcRu | PBE | relaxed

Summary:
- DOS at the Fermi energy: 8.92 states/eV per cell
- Energy of formation: 0.8 eV per formula unit

Cell lengths 9.0424, 9.0424, 9.0424 Å; angles 19.82, 19.82, 19.82 degrees
Last column: nearest neighbours and their distance in Å.
Atoms (fractional coordinates):
U 0.2499 0.2499 0.2499  3 Ru 2.85, 3 Tc 2.85, 6 U 3.11
U 0.7501 0.7501 0.7501  3 Ru 2.85, 3 Tc 2.85, 6 U 3.11
Tc 0.0000 0.0000 0.0000  6 U 2.85, 6 Tc 3.11
Ru 0.5000 0.5000 0.5000  6 U 2.85, 6 Ru 3.11

Zn2RuS2 | PBE | relaxed

Summary:
- Energy above the most stable polymorph in this dataset: 0 meV per atom
- Formation energy without anion corrections: 1.71 eV/f.u.
- DOS at the Fermi energy: 2.25 states/eV per cell

Cell lengths 6.7832, 6.7832, 3.3104 Å; angles 90.00, 90.00, 90.00 degrees
Last column: nearest neighbours and their distance in Å.
Atoms (fractional coordinates):
Zn 0.1332 0.3668 0.0000  2 S 2.42, 1 Zn 2.56, 2 Ru 2.65
Zn 0.3668 0.8668 0.0000  2 S 2.42, 1 Zn 2.56, 2 Ru 2.65
Zn 0.6332 0.1332 0.0000  2 S 2.42, 1 Zn 2.56, 2 Ru 2.65
Zn 0.8668 0.6332 0.0000  2 S 2.42, 1 Zn 2.56, 2 Ru 2.65
Ru 0.0000 0.0000 0.0000  4 Zn 2.65
Ru 0.5000 0.5000 0.0000  4 Zn 2.65
S 0.1826 0.6826 0.5000  2 Zn 2.42
S 0.3174 0.1826 0.5000  2 Zn 2.42
S 0.6826 0.8174 0.5000  2 Zn 2.42
S 0.8174 0.3174 0.5000  2 Zn 2.42

Na4U3ZnS8 | PBE | relaxed

Summary:
- Formation energy without anion corrections: -19.63 eV/f.u.
- DOS at the Fermi energy: 11.68 states/eV per cell

Cell lengths 8.1004, 8.1004, 8.1004 Å; angles 57.93, 57.93, 57.93 degrees
Last column: nearest neighbours and their distance in Å.
Atoms (fractional coordinates):
Na 0.0000 0.0000 0.0000  6 S 2.98
Na 0.0000 0.5000 0.5000  6 S 2.89-2.91
Na 0.5000 0.0000 0.5000  6 S 2.89-2.91
Na 0.5000 0.5000 0.0000  6 S 2.89-2.91
U 0.0000 0.0000 0.5000  6 S 2.74-2.75
U 0.0000 0.5000 0.0000  6 S 2.74-2.75
U 0.5000 0.0000 0.0000  6 S 2.74-2.75
Zn 0.5000 0.5000 0.5000  6 S 2.67
S 0.2443 0.2443 0.2443  3 U 2.75, 3 Na 2.89
S 0.2496 0.7367 0.7367  1 Zn 2.67, 2 U 2.74, 3 Na 2.91-2.98
S 0.2633 0.2633 0.7504  1 Zn 2.67, 2 U 2.74, 3 Na 2.91-2.98
S 0.2633 0.7504 0.2633  1 Zn 2.67, 2 U 2.74, 3 Na 2.91-2.98
S 0.7367 0.2496 0.7367  1 Zn 2.67, 2 U 2.74, 3 Na 2.91-2.98
S 0.7367 0.7367 0.2496  1 Zn 2.67, 2 U 2.74, 3 Na 2.91-2.98
S 0.7504 0.2633 0.2633  1 Zn 2.67, 2 U 2.74, 3 Na 2.91-2.98
S 0.7557 0.7557 0.7557  3 U 2.75, 3 Na 2.89